No. 1
Computed, not measured: crystalline Dy3GaBi at its relaxed geometry at the PBE-GGA level of DFT.

The calculation puts the formation energy at -503 meV/atom. The value obtained for the energy is -46.46 eV for the cell shown.

The structure belongs to space group Pmmn (No. 59, origin choice 2); the cell edges are 4.349, 7.060 and 9.552 Å and the angles 90.00°, 90.00° and 90.00°. Symmetry generates all atoms from Dy at (0.250, 0.012, 0.161), Dy at (0.250, 0.250, 0.589), Ga at (0.250, 0.250, 0.899) and Bi at (0.250, 0.750, 0.649).

***

No. 2
Computed, not measured: crystalline Dy2GaBi at its relaxed geometry at the PBE-GGA level of DFT.

The calculation puts the formation energy at -535 meV/atom. The value obtained for the energy is -54.76 eV for the cell shown. The calculation puts the distance to the lowest polymorph of the same formula at 156 meV per atom.

The structure belongs to space group R-3m (No. 166, hexagonal axes); the cell edges are 4.2267, 4.2267 and 22.3328 Å and the angles 90.00°, 90.00° and 120.00°. Symmetry generates all atoms from Dy at (0.0000, 0.0000, 0.2473), Ga at (0.0000, 0.0000, 0.5000) and Bi at (0.0000, 0.0000, 0.0000).

***

No. 3
Computed, not measured: crystalline Dy10Ga3Bi3 at its relaxed geometry at the PBE-GGA level of DFT.

The calculation puts the formation energy at -596 meV/atom. The value obtained for the energy is -76.27 eV for the cell shown.

The structure belongs to space group P-62m (No. 189); the cell edges are 8.8628, 8.8628 and 6.5598 Å and the angles 90.00°, 90.00° and 120.00°. Symmetry generates all atoms from Dy at (0.0000, 0.2378, 0.0000), Dy at (0.0000, 0.7643, 0.5000), Dy at (0.3333, 0.6667, 0.2364), Ga at (0.0000, 0.6066, 0.0000) and Bi at (0.0000, 0.3989, 0.5000).

***

No. 4
Computed, not measured: crystalline Dy8Ga3Bi2 at its relaxed geometry at the PBE-GGA level of DFT.

The calculation puts the formation energy at -414 meV/atom. The value obtained for the energy is -118.07 eV for the cell shown.

The structure belongs to space group Cmmm (No. 65); the cell edges are 10.091, 15.068 and 4.988 Å and the angles 90.00°, 90.00° and 90.00°. Symmetry generates all atoms from Dy at (0.000, 0.111, 0.000), Dy at (0.000, 0.382, 0.000), Dy at (0.242, 0.385, 0.500), Ga at (0.000, 0.500, 0.500), Ga at (0.242, 0.000, 0.000) and Bi at (0.000, 0.240, 0.500).